A plane-wave DFT calculation with PBE-GGA was carried out for an optimized crystal structure of RbTmO3.

**Uncorrected energy**: -29.94 eV/cell
**Density**: 5.7 g/cm3

Geometry as POSCAR:
```
RbTmO3
1.0
-3.218 -1.640 -2.604
-2.184 -1.437 3.604
-2.168 3.882 0.234
Rb Tm O
1 1 3
direct
0.000 0.000 0.000
0.500 0.500 0.500
0.000 0.500 0.500
0.500 0.000 0.500
0.500 0.500 0.000
```